Material: MoPtN2O
Method: DFT, PBE+U
State: relaxed

Values from the calculation:
Calculated density   8.702 g cm⁻³
Final energy   -5.7711 eV per atom

abc: 3.934 3.934 4.131
angles: 90.00 90.00 90.00
Element x y z (fractional)
Mo: 0.500 0.500 0.500
O: 0.000 0.000 0.500
Pt: 0.000 0.000 0.000
N: 0.000 0.500 0.000
N: 0.500 0.000 0.000